Record 1
# Tb3Pr2Nd2, relaxed, DFT PBE-GGA
data_Tb3Pr2Nd2
_symmetry_space_group_name_H-M 'P 1'
_symmetry_Int_Tables_number 1
_symmetry_space_group_name_Hall 'P 1'
_cell_length_a 9.097
_cell_length_b 9.097
_cell_length_c 8.757
_cell_angle_alpha 118.46
_cell_angle_beta 118.46
_cell_angle_gamma 22.42
loop_
_atom_site_label
_atom_site_fract_x
_atom_site_fract_y
_atom_site_fract_z
Tb1 0.000 0.000 0.000
Tb2 0.212 0.212 0.303
Tb3 0.788 0.788 0.697
Pr1 0.433 0.433 0.590
Pr2 0.567 0.567 0.410
Nd1 0.150 0.150 0.837
Nd2 0.850 0.850 0.163
# Total magnetization in μB per atom: 0.00
# Uncorrected energy in eV per atom: -4.597
# Density of states at the Fermi level in states/eV per cell: 10.822
# Symmetry: No. 12
# Formation energy in eV per formula unit: 0.80
# Crystal system: monoclinic

---

Record 2
# Ni2RhAu, relaxed, DFT PBE-GGA
data_Ni2RhAu
_symmetry_space_group_name_H-M 'P 1'
_symmetry_Int_Tables_number 1
_symmetry_space_group_name_Hall 'P 1'
_cell_length_a 4.694
_cell_length_b 4.694
_cell_length_c 4.570
_cell_angle_alpha 102.26
_cell_angle_beta 102.26
_cell_angle_gamma 33.81
loop_
_atom_site_label
_atom_site_fract_x
_atom_site_fract_y
_atom_site_fract_z
Ni1 0.000 0.000 0.000
Ni2 0.733 0.733 0.262
Rh1 0.253 0.253 0.795
Au1 0.489 0.489 0.491
# Total magnetization in μB per atom: 0.57
# Uncorrected energy in eV per atom: -5.419
# Density of states at the Fermi level in states/eV per cell: 5.334
# Symmetry: No. 8
# Formation energy in eV per formula unit: 0.51
# Crystal system: monoclinic

---

Record 3
# Ta2OsAu, relaxed, DFT PBE-GGA
data_Ta2OsAu
_symmetry_space_group_name_H-M 'P 1'
_symmetry_Int_Tables_number 1
_symmetry_space_group_name_Hall 'P 1'
_cell_length_a 5.099
_cell_length_b 5.099
_cell_length_c 5.099
_cell_angle_alpha 133.96
_cell_angle_beta 133.96
_cell_angle_gamma 67.15
loop_
_atom_site_label
_atom_site_fract_x
_atom_site_fract_y
_atom_site_fract_z
Ta1 0.000 0.000 0.000
Ta2 0.750 0.250 0.500
Os1 0.500 0.500 0.000
Au1 0.250 0.750 0.500
# Total magnetization in μB per atom: 0.00
# Uncorrected energy in eV per atom: -9.548
# Density of states at the Fermi level in states/eV per cell: 3.337
# Symmetry: No. 119
# Formation energy in eV per formula unit: 0.02
# Crystal system: tetragonal